1.
PmPu2Os | PBE | optimized geometry

Unit cell a=4.7453 b=4.7453 c=14.6785 alpha=90.00 beta=90.00 gamma=120.00
With the nearest neighbours (Å) after each atom.
Space group R-3m (No. 166, hexagonal axes)
Symmetry-distinct sites (fractional):
Pm  0.0000  0.0000  0.0000 [3 per cell]  8 Pu 3.13-3.38
Pu  0.0000  0.0000  0.2305 [6 per cell]  3 Os 2.90, 3 Pm 3.13
Os  0.0000  0.0000  0.5000 [3 per cell]  6 Pu 2.90

ΔE to the lowest computed polymorph: 0.84 eV per formula unit
D(E_F): 3.23 states/eV/atom

2.
PmPuOs | PBE | optimized geometry

Unit cell a=6.8029 b=6.8029 c=6.8029 alpha=90.00 beta=90.00 gamma=90.00
With the nearest neighbours (Å) after each atom.
Space group F-43m (No. 216)
Symmetry-distinct sites (fractional):
Pm  0.0000  0.0000  0.0000 [4 per cell]  4 Os 2.95
Pu  0.0000  0.0000  0.5000 [4 per cell]  4 Os 2.95
Os  0.2500  0.2500  0.7500 [4 per cell]  4 Pm 2.95, 4 Pu 2.95

ΔE to the lowest computed polymorph: 0.54 eV per formula unit
D(E_F): 3.22 states/eV/atom

3.
PmPuOsRh | PBE | optimized geometry

Unit cell a=6.9099 b=6.9099 c=6.9099 alpha=90.00 beta=90.00 gamma=90.00
With the nearest neighbours (Å) after each atom.
Space group F-43m (No. 216)
Symmetry-distinct sites (fractional):
Pm  0.0000  0.0000  0.0000 [4 per cell]  4 Os 2.99, 4 Rh 2.99
Pu  0.0000  0.0000  0.5000 [4 per cell]  4 Os 2.99, 4 Rh 2.99
Os  0.2500  0.2500  0.7500 [4 per cell]  4 Pm 2.99, 4 Pu 2.99
Rh  0.2500  0.2500  0.2500 [4 per cell]  4 Pm 2.99, 4 Pu 2.99

Energy: -9.610 eV/atom
D(E_F): 1.76 states/eV/atom

4.
PmPuOsRu | PBE | optimized geometry

Unit cell a=6.8701 b=6.8701 c=6.8701 alpha=90.00 beta=90.00 gamma=90.00
With the nearest neighbours (Å) after each atom.
Space group F-43m (No. 216)
Symmetry-distinct sites (fractional):
Pm  0.0000  0.0000  0.0000 [4 per cell]  4 Ru 2.97, 4 Os 2.97
Pu  0.0000  0.0000  0.5000 [4 per cell]  4 Ru 2.97, 4 Os 2.97
Os  0.2500  0.2500  0.2500 [4 per cell]  4 Pm 2.97, 4 Pu 2.97
Ru  0.2500  0.2500  0.7500 [4 per cell]  4 Pm 2.97, 4 Pu 2.97

Energy: -9.895 eV/atom
D(E_F): 1.24 states/eV/atom

5.
PmPuTlOs | PBE | optimized geometry

Unit cell a=3.3488 b=3.3488 c=8.7316 alpha=90.00 beta=90.00 gamma=90.00
With the nearest neighbours (Å) after each atom.
Space group P4mm (No. 99)
Symmetry-distinct sites (fractional):
Pm  0.0000  0.0000  0.0000 [1 per cell]  4 Os 3.02, 4 Pm 3.35
Pu  0.0000  0.0000  0.5952 [1 per cell]  4 Os 2.90
Tl  0.5000  0.5000  0.3019 [1 per cell]  4 Tl 3.35, 4 Pu 3.49, 4 Pm 3.54
Os  0.5000  0.5000  0.7860 [1 per cell]  4 Pu 2.90, 4 Pm 3.02

Energy: -8.274 eV/atom
D(E_F): 1.84 states/eV/atom

6.
PmPuZnOs | PBE | optimized geometry

Unit cell a=7.0229 b=7.0229 c=7.0229 alpha=90.00 beta=90.00 gamma=90.00
With the nearest neighbours (Å) after each atom.
Space group F-43m (No. 216)
Symmetry-distinct sites (fractional):
Pm  0.0000  0.0000  0.0000 [4 per cell]  4 Os 3.04, 4 Zn 3.04
Pu  0.0000  0.0000  0.5000 [4 per cell]  4 Zn 3.04, 4 Os 3.04
Zn  0.2500  0.2500  0.7500 [4 per cell]  4 Pm 3.04, 4 Pu 3.04
Os  0.2500  0.2500  0.2500 [4 per cell]  4 Pm 3.04, 4 Pu 3.04

Energy: -7.936 eV/atom
D(E_F): 2.36 states/eV/atom

7.
RbPm2Os | PBE | optimized geometry

Unit cell a=3.5440 b=3.5440 c=11.2679 alpha=90.00 beta=90.00 gamma=90.00
With the nearest neighbours (Å) after each atom.
Space group P4/mmm (No. 123)
Symmetry-distinct sites (fractional):
Rb  0.0000  0.0000  0.0000 [1 per cell]  4 Rb 3.54
Pm  0.5000  0.5000  0.3515 [2 per cell]  4 Os 3.01, 1 Pm 3.35
Os  0.0000  0.0000  0.5000 [1 per cell]  8 Pm 3.01

Energy: -5.304 eV/atom
D(E_F): 0.59 states/eV/atom

8.
RbPm3Os | PBE | optimized geometry

Unit cell a=5.7075 b=5.7075 c=5.7075 alpha=90.00 beta=90.00 gamma=90.00
With the nearest neighbours (Å) after each atom.
Space group Pm-3m (No. 221)
Symmetry-distinct sites (fractional):
Rb  0.0000  0.0000  0.0000 [1 per cell]  12 Pm 4.04
Pm  0.0000  0.5000  0.5000 [3 per cell]  2 Os 2.85
Os  0.5000  0.5000  0.5000 [1 per cell]  6 Pm 2.85

Energy: -5.103 eV/atom
D(E_F): 0.48 states/eV/atom